(1)
CdFe2Au | PBE | optimized geometry

Unit cell a=7.210 b=7.210 c=5.366 alpha=90.00 beta=90.00 gamma=90.00
Space group I-42d (No. 122)
Symmetry-distinct sites (fractional):
Cd 0.000 0.000 0.000 [4 per cell]
Fe 0.235 0.250 0.625 [8 per cell]
Au 0.000 0.000 0.500 [4 per cell]

ΔE_f: 570 meV/atom
Size of the total moment: 22.37 Bohr magnetons per cell


(2)
TmLuTi4 | PBE | optimized geometry

Unit cell a=8.128 b=8.128 c=8.128 alpha=90.00 beta=90.00 gamma=90.00
Space group F-43m (No. 216)
Symmetry-distinct sites (fractional):
Tm 0.000 0.000 0.000 [4 per cell]
Lu 0.250 0.250 0.750 [4 per cell]
Ti 0.125 0.125 0.375 [16 per cell]

ΔE_f: 221 meV/atom
Size of the total moment: 36.47 Bohr magnetons per cell


(3)
NbW3Au | PBE | optimized geometry

Unit cell a=4.796 b=4.796 c=4.796 alpha=90.00 beta=90.00 gamma=90.00
Space group Pm-3m (No. 221)
Symmetry-distinct sites (fractional):
Nb 0.000 0.000 0.000 [1 per cell]
W 0.000 0.500 0.500 [3 per cell]
Au 0.500 0.500 0.500 [1 per cell]

ΔE_f: 2600 meV/atom
Size of the total moment: 0.00 Bohr magnetons per cell
Energy above the lowest structure with this stoichiometry: 351 meV/atom


(4)
SbINF2 | PBE | optimized geometry

Unit cell a=4.337 b=4.337 c=4.536 alpha=90.00 beta=90.00 gamma=90.00
Space group P4/mmm (No. 123)
Symmetry-distinct sites (fractional):
Sb 0.000 0.000 0.000 [1 per cell]
I 0.500 0.500 0.500 [1 per cell]
N 0.000 0.000 0.500 [1 per cell]
F 0.000 0.500 0.000 [2 per cell]

Formation energy from raw total energies: -0.3649 eV/atom
Size of the total moment: 0.00 Bohr magnetons per cell
Energy above the lowest structure with this stoichiometry: 0 meV/atom


no.,final energy (eV per atom)
1,-4.71
2,-6.54
3,-7.84
4,-3.91